[1]
DFT (GGA-PBE) results for crystalline Pr3AlNi8 at its relaxed geometry.

Cell lengths 5.0985, 5.0985, 24.9683 Å; angles 90.00, 90.00, 120.00 degrees
Space group R3m (No. 160, hexagonal axes)
Symmetry-distinct sites (fractional):
Pr (0.0000, 0.0000, 0.0000)
Pr (0.0000, 0.0000, 0.1281)
Pr (0.0000, 0.0000, 0.6146)
Al (0.0000, 0.0000, 0.4899)
Ni (0.0000, 0.0000, 0.3113)
Ni (0.0000, 0.0000, 0.8117)
Ni (0.0020, 0.5010, 0.5584)
Ni (0.0046, 0.5023, 0.0640)

Properties
D(E_F) ... 9.09 states/eV/f.u.
ΔE to the lowest computed polymorph ... 17 meV/atom
Total magnetic moment ... 0.0 Bohr magnetons per cell
Formation energy from the elements ... -303 meV per atom

[2]
DFT (GGA-PBE) results for crystalline LiNi2Pd2 at its relaxed geometry.

Cell lengths 7.3372, 7.3372, 2.6985 Å; angles 90.00, 90.00, 90.00 degrees
Space group P4/mbm (No. 127)
Symmetry-distinct sites (fractional):
Li (0.0000, 0.0000, 0.0000)
Ni (0.1595, 0.3405, 0.5000)
Pd (0.1380, 0.6380, 0.0000)

Properties
D(E_F) ... 7.56 states/eV/f.u.
ΔE to the lowest computed polymorph ... 47 meV/atom
Total magnetic moment ... 2.9 Bohr magnetons per cell
Formation energy from the elements ... 27 meV per atom

[3]
DFT (GGA-PBE) results for crystalline KGeIrF2 at its relaxed geometry.

Cell lengths 4.2474, 4.2474, 6.2551 Å; angles 90.00, 90.00, 90.00 degrees
Space group P4/mmm (No. 123)
Symmetry-distinct sites (fractional):
K (0.0000, 0.0000, 0.0000)
Ge (0.5000, 0.5000, 0.0000)
Ir (0.0000, 0.0000, 0.5000)
F (0.0000, 0.5000, 0.5000)

Properties
D(E_F) ... 4.89 states/eV/f.u.
Total magnetic moment ... 0.0 Bohr magnetons per cell
Formation energy from raw total energies ... 0.16 eV/atom

[4]
DFT (GGA-PBE) results for crystalline Mo2AsP at its relaxed geometry.

Cell lengths 4.1580, 3.0584, 5.1829 Å; angles 90.00, 112.17, 90.00 degrees
Space group P2/m (No. 10)
Symmetry-distinct sites (fractional):
Mo (0.0000, 0.0000, 0.0000)
Mo (0.5000, 0.5000, 0.5000)
As (0.0000, 0.0000, 0.5000)
P (0.5000, 0.5000, 0.0000)

Properties
D(E_F) ... 4.09 states/eV/f.u.
ΔE to the lowest computed polymorph ... 430 meV/atom
Total magnetic moment ... 0.0 Bohr magnetons per cell
Formation energy from the elements ... 22 meV per atom

[5]
DFT (GGA-PBE) results for crystalline Zr5Se3 at its relaxed geometry.

Cell lengths 8.0735, 8.0735, 5.5742 Å; angles 90.00, 90.00, 120.00 degrees
Space group P6_3/mcm (No. 193)
Symmetry-distinct sites (fractional):
Zr (0.0000, 0.2585, 0.2500)
Zr (0.3333, 0.6667, 0.0000)
Se (0.0000, 0.3845, 0.7500)

Properties
D(E_F) ... 6.91 states/eV/f.u.
ΔE to the lowest computed polymorph ... 0 meV/atom
Total magnetic moment ... 0.0 Bohr magnetons per cell
Formation energy from raw total energies ... -0.79 eV/atom

[6]
DFT (GGA-PBE) results for crystalline Ti2MnSb2 at its relaxed geometry.

Cell lengths 7.2926, 7.2926, 3.6729 Å; angles 90.00, 90.00, 90.00 degrees
Space group P4/mbm (No. 127)
Symmetry-distinct sites (fractional):
Ti (0.1465, 0.3535, 0.0000)
Mn (0.0000, 0.0000, 0.5000)
Sb (0.1530, 0.6530, 0.5000)

Properties
D(E_F) ... 3.10 states/eV/f.u.
Total magnetic moment ... 6.5 Bohr magnetons per cell
Formation energy from raw total energies ... -0.16 eV/atom